Entry from Alexandria: an optimized crystal structure of SrTc2Br (PBE).

```
SrTc2Br
1.0
1.641 -2.638 0.000
1.641 2.638 0.000
0.000 0.000 9.266
Sr Tc Br
1 2 1
Direct
0.000 0.000 0.000
0.500 0.500 0.280
0.500 0.500 0.720
0.000 0.000 0.500
```

Values from the calculation:
- crystal system = orthorhombic
- space-group type = Cmmm
- uncorrected energy (eV/cell) = -19.05
- formation energy (no corrections) (eV/atom) = 1.26